A relaxed BeZn2MoO crystal. Source: Alexandria via LeMat-Bulk, functional PBE+U.

Geometry as POSCAR:
```
BeZn2MoO
1.0
-1.3127 -4.8618 0.6169
2.4574 -0.8172 -1.2113
2.2361 -0.0259 4.5541
Mo O Be Zn
1 1 1 2
direct
0.5000 0.5000 0.5000
0.0000 0.0000 0.0000
0.0000 0.5000 0.0000
0.0000 0.0000 0.5000
0.5000 0.0000 0.0000
```

Symmetry: P4/mmm, No. 123
D(E_F): 0.415 states/eV per atom
Size of the total moment: 2.39 Bohr magnetons per cell
Raw total energy: -19.25 eV per formula unit